# Be2IrPt PBEsol optimized geometry
# spin magnetization: 0.000 μB/atom
# polymorph energy (0 for the lowest one): 346.2 meV/atom
# theoretical density: 14.4 Mg/m³
# energy of formation: -373 meV per atom
# calculated volume: 46.73 Å³ per cell
data_Be2IrPt
_chemical_formula_sum 'Be2 Ir1 Pt1'
_symmetry_space_group_name_H-M 'P 1'
_symmetry_Int_Tables_number 1
_cell_length_a 3.933
_cell_length_b 3.933
_cell_length_c 4.728
_cell_angle_alpha 101.75
_cell_angle_beta 101.75
_cell_angle_gamma 40.88
loop_
_symmetry_equiv_pos_as_xyz
'x,y,z'
loop_
_atom_site_label
_atom_site_type_symbol
_atom_site_fract_x
_atom_site_fract_y
_atom_site_fract_z
Be1 Be 0.248 0.248 0.235
Be2 Be 0.752 0.752 0.765
Ir1 Ir 0.500 0.500 0.000
Pt1 Pt 0.000 0.000 0.500

***

# Hg2TeMo PBEsol optimized geometry
# formation energy (no corrections): 645 meV per atom
# spin magnetization: 0.499 μB/atom
# theoretical density: 12.5 Mg/m³
# calculated volume: 82.88 Å³ per cell
data_Hg2TeMo
_chemical_formula_sum 'Hg2 Te1 Mo1'
_symmetry_space_group_name_H-M 'P 1'
_symmetry_Int_Tables_number 1
_cell_length_a 4.100
_cell_length_b 4.100
_cell_length_c 4.931
_cell_angle_alpha 90.00
_cell_angle_beta 90.00
_cell_angle_gamma 90.00
loop_
_symmetry_equiv_pos_as_xyz
'x,y,z'
loop_
_atom_site_label
_atom_site_type_symbol
_atom_site_fract_x
_atom_site_fract_y
_atom_site_fract_z
Hg1 Hg 0.000 0.500 0.000
Hg2 Hg 0.500 0.000 0.000
Te1 Te 0.000 0.000 0.500
Mo1 Mo 0.500 0.500 0.500

***

# TlHgPb2 PBEsol optimized geometry
# spin magnetization: 0.000 μB/atom
# theoretical density: 12.3 Mg/m³
# energy of formation: 18 meV per atom
# calculated volume: 110.88 Å³ per cell
data_TlHgPb2
_chemical_formula_sum 'Tl1 Hg1 Pb2'
_symmetry_space_group_name_H-M 'P 1'
_symmetry_Int_Tables_number 1
_cell_length_a 3.652
_cell_length_b 5.493
_cell_length_c 5.527
_cell_angle_alpha 90.00
_cell_angle_beta 90.00
_cell_angle_gamma 90.00
loop_
_symmetry_equiv_pos_as_xyz
'x,y,z'
loop_
_atom_site_label
_atom_site_type_symbol
_atom_site_fract_x
_atom_site_fract_y
_atom_site_fract_z
Tl1 Tl 0.000 0.000 0.000
Hg1 Hg 0.500 0.000 0.500
Pb1 Pb 0.000 0.500 0.500
Pb2 Pb 0.500 0.500 0.000

***

# RbReF3 PBEsol optimized geometry
# formation energy (no corrections): -1275 meV per atom
# spin magnetization: 0.000 μB/atom
# theoretical density: 7.3 Mg/m³
# calculated volume: 75.04 Å³ per cell
data_RbReF3
_chemical_formula_sum 'Rb1 Re1 F3'
_symmetry_space_group_name_H-M 'P 1'
_symmetry_Int_Tables_number 1
_cell_length_a 4.218
_cell_length_b 4.218
_cell_length_c 4.218
_cell_angle_alpha 90.00
_cell_angle_beta 90.00
_cell_angle_gamma 90.00
loop_
_symmetry_equiv_pos_as_xyz
'x,y,z'
loop_
_atom_site_label
_atom_site_type_symbol
_atom_site_fract_x
_atom_site_fract_y
_atom_site_fract_z
Rb1 Rb 0.000 0.000 0.000
Re1 Re 0.500 0.500 0.500
F1 F 0.000 0.500 0.500
F2 F 0.500 0.000 0.500
F3 F 0.500 0.500 0.000